*one*
Compound: MnAlTeI2
Source: the Alexandria database
Functional: PBE
Structure: optimized geometry

Unit cell a=5.627 b=5.627 c=4.883 alpha=90.00 beta=90.00 gamma=90.00
Atoms (fractional coordinates):
Mn 0.000 0.000 0.000
Al 0.500 0.500 0.500
Te 0.000 0.000 0.500
I 0.000 0.500 0.000
I 0.500 0.000 0.000

**Theoretical density**: 4.976 Mg/m³
**V**: 154.6 Å³/cell

---

*two*
Compound: MnAlTeI2
Source: the Alexandria database
Functional: PBE
Structure: optimized geometry

Unit cell a=5.488 b=5.488 c=5.549 alpha=90.00 beta=90.00 gamma=90.00
Atoms (fractional coordinates):
Mn 0.000 0.000 0.000
Al 0.500 0.500 0.500
Te 0.500 0.500 0.000
I 0.000 0.500 0.500
I 0.500 0.000 0.500

**Theoretical density**: 4.603 Mg/m³
**V**: 167.1 Å³/cell

---

Result of the stability comparison: *two* is the most stable of them.

---

*one*
Compound: AlMoI2
Source: the Alexandria database
Functional: PBE
Structure: optimized geometry

Unit cell a=7.565 b=7.565 c=7.565 alpha=96.61 beta=96.61 gamma=140.34
Atoms (fractional coordinates):
Al 0.000 0.000 0.000
Al 0.750 0.250 0.500
Mo 0.250 0.750 0.500
Mo 0.500 0.500 0.000
I 0.274 0.625 0.149
I 0.375 0.524 0.649
I 0.476 0.125 0.851
I 0.875 0.726 0.351

**Theoretical density**: 4.814 Mg/m³
**V**: 259.9 Å³/cell

---

*two*
Compound: AlMoI2
Source: the Alexandria database
Functional: PBE
Structure: optimized geometry

Unit cell a=4.982 b=4.982 c=4.982 alpha=60.00 beta=60.00 gamma=60.00
Atoms (fractional coordinates):
Al 0.000 0.000 0.000
Mo 0.500 0.500 0.500
I 0.250 0.250 0.250
I 0.750 0.750 0.750

**Theoretical density**: 7.156 Mg/m³
**V**: 87.4 Å³/cell

---

Result of the stability comparison: *one* is the most stable of them.

---

*one*
Compound: Al2MoI
Source: the Alexandria database
Functional: PBE
Structure: optimized geometry

Unit cell a=4.738 b=4.738 c=4.738 alpha=60.00 beta=60.00 gamma=60.00
Atoms (fractional coordinates):
Al 0.250 0.250 0.250
Al 0.750 0.750 0.750
Mo 0.000 0.000 0.000
I 0.500 0.500 0.500

**Theoretical density**: 6.112 Mg/m³
**V**: 75.2 Å³/cell

---

*two*
Compound: Al2MoI
Source: the Alexandria database
Functional: PBE
Structure: optimized geometry

Unit cell a=6.185 b=6.185 c=6.185 alpha=102.62 beta=102.62 gamma=124.26
Atoms (fractional coordinates):
Al 0.088 0.125 0.463
Al 0.375 0.912 0.037
Al 0.662 0.625 0.537
Al 0.875 0.338 0.963
Mo 0.000 0.000 0.000
Mo 0.750 0.250 0.500
I 0.250 0.750 0.500
I 0.500 0.500 0.000

**Theoretical density**: 5.318 Mg/m³
**V**: 172.9 Å³/cell

---

Result of the stability comparison: *two* is the most stable of them.

---

*one*
Compound: AlMo2I
Source: the Alexandria database
Functional: PBE
Structure: optimized geometry

Unit cell a=9.851 b=9.851 c=9.851 alpha=155.64 beta=155.64 gamma=34.71
Atoms (fractional coordinates):
Al 0.000 0.000 0.000
Al 0.750 0.250 0.500
Mo 0.057 0.625 0.932
Mo 0.375 0.307 0.432
Mo 0.693 0.125 0.068
Mo 0.875 0.943 0.568
I 0.250 0.750 0.500
I 0.500 0.500 0.000

**Theoretical density**: 7.071 Mg/m³
**V**: 162.4 Å³/cell

---

*two*
Compound: AlMo2I
Source: the Alexandria database
Functional: PBE
Structure: optimized geometry

Unit cell a=4.579 b=4.579 c=4.579 alpha=60.00 beta=60.00 gamma=60.00
Atoms (fractional coordinates):
Al 0.000 0.000 0.000
Mo 0.250 0.250 0.250
Mo 0.750 0.750 0.750
I 0.500 0.500 0.500

**Theoretical density**: 8.459 Mg/m³
**V**: 67.9 Å³/cell

---

Result of the stability comparison: *two* is the most stable of them.

---

*one*
Compound: AlMoI2N
Source: the Alexandria database
Functional: PBE
Structure: optimized geometry

Unit cell a=5.734 b=5.734 c=3.861 alpha=90.00 beta=90.00 gamma=90.00
Atoms (fractional coordinates):
Al 0.000 0.000 0.000
Mo 0.500 0.500 0.500
I 0.000 0.500 0.500
I 0.500 0.000 0.500
N 0.500 0.500 0.000

**Theoretical density**: 5.110 Mg/m³
**V**: 127.0 Å³/cell

---

*two*
Compound: AlMoI2N
Source: the Alexandria database
Functional: PBE
Structure: optimized geometry

Unit cell a=5.733 b=5.733 c=3.531 alpha=90.00 beta=90.00 gamma=90.00
Atoms (fractional coordinates):
Al 0.000 0.000 0.000
Mo 0.500 0.500 0.500
I 0.000 0.500 0.000
I 0.500 0.000 0.000
N 0.000 0.000 0.500

**Theoretical density**: 5.591 Mg/m³
**V**: 116.1 Å³/cell

---

Result of the stability comparison: *one* is the most stable of them.

---

*one*
Compound: AlMoIN2
Source: the Alexandria database
Functional: PBE
Structure: optimized geometry

Unit cell a=4.019 b=4.019 c=5.730 alpha=90.00 beta=90.00 gamma=90.00
Atoms (fractional coordinates):
Al 0.000 0.000 0.000
Mo 0.500 0.500 0.500
I 0.500 0.500 0.000
N 0.000 0.500 0.500
N 0.500 0.000 0.500

**Theoretical density**: 4.985 Mg/m³
**V**: 92.5 Å³/cell

---

*two*
Compound: AlMoIN2
Source: the Alexandria database
Functional: PBE
Structure: optimized geometry

Unit cell a=3.923 b=3.923 c=5.502 alpha=90.00 beta=90.00 gamma=90.00
Atoms (fractional coordinates):
Al 0.000 0.000 0.000
Mo 0.500 0.500 0.500
I 0.000 0.000 0.500
N 0.000 0.500 0.000
N 0.500 0.000 0.000

**Theoretical density**: 5.449 Mg/m³
**V**: 84.7 Å³/cell

---

Result of the stability comparison: *one* is the most stable of them.

---

*one*
Compound: AlSb2MoI
Source: the Alexandria database
Functional: PBE
Structure: optimized geometry

Unit cell a=5.268 b=5.268 c=5.452 alpha=90.00 beta=90.00 gamma=90.00
Atoms (fractional coordinates):
Al 0.000 0.000 0.000
Sb 0.000 0.500 0.000
Sb 0.500 0.000 0.000
Mo 0.500 0.500 0.500
I 0.000 0.000 0.500

**Theoretical density**: 5.415 Mg/m³
**V**: 151.3 Å³/cell

---

*two*
Compound: AlSb2MoI
Source: the Alexandria database
Functional: PBE
Structure: optimized geometry

Unit cell a=5.173 b=5.173 c=6.010 alpha=90.00 beta=90.00 gamma=90.00
Atoms (fractional coordinates):
Al 0.000 0.000 0.000
Sb 0.000 0.500 0.500
Sb 0.500 0.000 0.500
Mo 0.500 0.500 0.500
I 0.500 0.500 0.000

**Theoretical density**: 5.093 Mg/m³
**V**: 160.9 Å³/cell

---

Result of the stability comparison: *two* is the most stable of them.

---

*one*
Compound: AlTe2MoI
Source: the Alexandria database
Functional: PBE
Structure: optimized geometry

Unit cell a=5.224 b=5.224 c=5.263 alpha=90.00 beta=90.00 gamma=90.00
Atoms (fractional coordinates):
Al 0.000 0.000 0.000
Te 0.000 0.500 0.500
Te 0.500 0.000 0.500
Mo 0.000 0.000 0.500
I 0.500 0.500 0.000

**Theoretical density**: 5.838 Mg/m³
**V**: 143.7 Å³/cell

---

*two*
Compound: AlTe2MoI
Source: the Alexandria database
Functional: PBE
Structure: optimized geometry

Unit cell a=5.374 b=5.374 c=5.396 alpha=90.00 beta=90.00 gamma=90.00
Atoms (fractional coordinates):
Al 0.000 0.000 0.000
Te 0.000 0.500 0.000
Te 0.500 0.000 0.000
Mo 0.500 0.500 0.500
I 0.000 0.000 0.500

**Theoretical density**: 5.382 Mg/m³
**V**: 155.8 Å³/cell

---

*three*
Compound: AlTe2MoI
Source: the Alexandria database
Functional: PBE
Structure: optimized geometry

Unit cell a=5.253 b=5.253 c=5.912 alpha=90.00 beta=90.00 gamma=90.00
Atoms (fractional coordinates):
Al 0.000 0.000 0.000
Te 0.000 0.500 0.500
Te 0.500 0.000 0.500
Mo 0.500 0.500 0.500
I 0.500 0.500 0.000

**Theoretical density**: 5.140 Mg/m³
**V**: 163.1 Å³/cell

---

Result of the stability comparison: *one* is the most stable of them.

---

*one*
Compound: Al3IN
Source: the Alexandria database
Functional: PBE
Structure: optimized geometry

Unit cell a=5.916 b=5.916 c=5.916 alpha=90.00 beta=90.00 gamma=90.00
Atoms (fractional coordinates):
Al 0.000 0.000 0.500
Al 0.000 0.500 0.000
Al 0.500 0.000 0.000
I 0.000 0.000 0.000
N 0.500 0.500 0.500

**Theoretical density**: 1.779 Mg/m³
**V**: 207.1 Å³/cell

---

*two*
Compound: Al3IN
Source: the Alexandria database
Functional: PBE
Structure: optimized geometry

Unit cell a=4.500 b=4.500 c=4.500 alpha=90.00 beta=90.00 gamma=90.00
Atoms (fractional coordinates):
Al 0.000 0.000 0.500
Al 0.000 0.500 0.000
Al 0.500 0.000 0.000
I 0.500 0.500 0.500
N 0.000 0.000 0.000

**Theoretical density**: 4.042 Mg/m³
**V**: 91.1 Å³/cell

---

Result of the stability comparison: *two* is the most stable of them.

---

*one*
Compound: Al2IN
Source: the Alexandria database
Functional: PBE
Structure: optimized geometry

Unit cell a=6.778 b=6.778 c=6.778 alpha=133.02 beta=133.02 gamma=68.62
Atoms (fractional coordinates):
Al 0.375 0.175 0.300
Al 0.825 0.125 0.200
Al 0.875 0.075 0.700
Al 0.925 0.625 0.800
I 0.250 0.750 0.500
I 0.500 0.500 0.000
N 0.000 0.000 0.000
N 0.750 0.250 0.500

**Theoretical density**: 3.959 Mg/m³
**V**: 163.5 Å³/cell

---

*two*
Compound: Al2IN
Source: the Alexandria database
Functional: PBE
Structure: optimized geometry

Unit cell a=4.628 b=4.628 c=4.628 alpha=60.00 beta=60.00 gamma=60.00
Atoms (fractional coordinates):
Al 0.250 0.250 0.250
Al 0.750 0.750 0.750
I 0.000 0.000 0.000
N 0.500 0.500 0.500

**Theoretical density**: 4.616 Mg/m³
**V**: 70.1 Å³/cell

---

Result of the stability comparison: *one* is the most stable of them.

---

*one*
Compound: AlIN2
Source: the Alexandria database
Functional: PBE
Structure: optimized geometry

Unit cell a=4.141 b=4.141 c=4.141 alpha=60.00 beta=60.00 gamma=60.00
Atoms (fractional coordinates):
Al 0.000 0.000 0.000
I 0.500 0.500 0.500
N 0.250 0.250 0.250
N 0.750 0.750 0.750

**Theoretical density**: 6.013 Mg/m³
**V**: 50.2 Å³/cell

---

*two*
Compound: AlIN2
Source: the Alexandria database
Functional: PBE
Structure: optimized geometry

Unit cell a=6.436 b=6.436 c=6.436 alpha=28.65 beta=28.65 gamma=28.65
Atoms (fractional coordinates):
Al 0.000 0.000 0.000
I 0.500 0.500 0.500
N 0.386 0.386 0.386
N 0.614 0.614 0.614

**Theoretical density**: 5.573 Mg/m³
**V**: 54.2 Å³/cell

---

Result of the stability comparison: *two* is the most stable of them.

---

*one*
Compound: AlI3N
Source: the Alexandria database
Functional: PBE
Structure: optimized geometry

Unit cell a=5.122 b=5.122 c=5.122 alpha=90.00 beta=90.00 gamma=90.00
Atoms (fractional coordinates):
Al 0.000 0.000 0.000
I 0.000 0.500 0.500
I 0.500 0.000 0.500
I 0.500 0.500 0.000
N 0.500 0.500 0.500

**Theoretical density**: 5.212 Mg/m³
**V**: 134.4 Å³/cell

---

*two*
Compound: AlI3N
Source: the Alexandria database
Functional: PBE
Structure: optimized geometry

Unit cell a=5.605 b=5.605 c=5.605 alpha=90.00 beta=90.00 gamma=90.00
Atoms (fractional coordinates):
Al 0.000 0.000 0.000
I 0.000 0.000 0.500
I 0.000 0.500 0.000
I 0.500 0.000 0.000
N 0.500 0.500 0.500

**Theoretical density**: 3.977 Mg/m³
**V**: 176.1 Å³/cell

---

Result of the stability comparison: *two* is the most stable of them.

---

*one*
Compound: AlI2N2
Source: the Alexandria database
Functional: PBE
Structure: optimized geometry

Unit cell a=4.048 b=4.048 c=7.003 alpha=90.00 beta=90.00 gamma=90.00
Atoms (fractional coordinates):
Al 0.000 0.000 0.000
I 0.000 0.000 0.500
I 0.500 0.500 0.500
N 0.000 0.500 0.000
N 0.500 0.000 0.000

**Theoretical density**: 4.468 Mg/m³
**V**: 114.8 Å³/cell

---

*two*
Compound: AlI2N2
Source: the Alexandria database
Functional: PBE
Structure: optimized geometry

Unit cell a=6.091 b=6.091 c=3.443 alpha=90.00 beta=90.00 gamma=90.00
Atoms (fractional coordinates):
Al 0.000 0.000 0.000
I 0.000 0.500 0.000
I 0.500 0.000 0.000
N 0.000 0.000 0.500
N 0.500 0.500 0.500

**Theoretical density**: 4.014 Mg/m³
**V**: 127.7 Å³/cell

---

*three*
Compound: AlI2N2
Source: the Alexandria database
Functional: PBE
Structure: optimized geometry

Unit cell a=4.225 b=4.225 c=8.013 alpha=90.00 beta=90.00 gamma=90.00
Atoms (fractional coordinates):
Al 0.000 0.000 0.000
I 0.500 0.500 0.000
I 0.500 0.500 0.500
N 0.000 0.500 0.500
N 0.500 0.000 0.500

**Theoretical density**: 3.586 Mg/m³
**V**: 143.0 Å³/cell

---

Result of the stability comparison: *two* is the most stable of them.